Record 1
First-principles (PBE) data for an optimized crystal structure of SmDy2Pd, as listed in the Alexandria database.

Summary:
As for the crystal system: tetragonal. For the energy relative to the lowest polymorph listed for this composition, the calculation gives 49 meV per atom.

Lattice parameters (Å, degrees): 3.5870 3.5870 8.5173 90.00 90.00 90.00
Closest atoms and distances in Å follow each position.
Atoms (fractional coordinates):
Sm: 0.0000 0.0000 0.0000  4 Sm 3.59, 8 Dy 3.63
Dy: 0.5000 0.5000 0.3049  4 Pd 3.03, 1 Dy 3.32
Dy: 0.5000 0.5000 0.6951  4 Pd 3.03, 1 Dy 3.32
Pd: 0.0000 0.0000 0.5000  8 Dy 3.03

Record 2
First-principles (PBE) data for an optimized crystal structure of SmDyTcPd, as listed in the Alexandria database.

Summary:
Its total energy is -26.1 eV per cell. As for the crystal system: cubic.

Lattice parameters (Å, degrees): 4.9321 4.9321 4.9321 60.00 60.00 60.00
Closest atoms and distances in Å follow each position.
Atoms (fractional coordinates):
Sm: 0.0000 0.0000 0.0000  4 Pd 3.02, 4 Tc 3.02
Dy: 0.5000 0.5000 0.5000  4 Tc 3.02, 4 Pd 3.02
Tc: 0.2500 0.2500 0.2500  4 Dy 3.02, 4 Sm 3.02
Pd: 0.7500 0.7500 0.7500  4 Sm 3.02, 4 Dy 3.02

Record 3
First-principles (PBE) data for an optimized crystal structure of SmDyTlPd, as listed in the Alexandria database.

Summary:
Its total energy is -19.0 eV per cell. As for the crystal system: cubic.

Lattice parameters (Å, degrees): 5.2300 5.2300 5.2300 60.00 60.00 60.00
Closest atoms and distances in Å follow each position.
Atoms (fractional coordinates):
Sm: 0.0000 0.0000 0.0000  4 Pd 3.20, 4 Tl 3.20
Dy: 0.5000 0.5000 0.5000  4 Tl 3.20, 4 Pd 3.20
Tl: 0.2500 0.2500 0.2500  4 Dy 3.20, 4 Sm 3.20
Pd: 0.7500 0.7500 0.7500  4 Dy 3.20, 4 Sm 3.20

Record 4
First-principles (PBE) data for an optimized crystal structure of SmDyZnPd, as listed in the Alexandria database.

Summary:
As for the crystal system: cubic. For the energy relative to the lowest polymorph listed for this composition, the calculation gives 27 meV per atom.

Lattice parameters (Å, degrees): 5.0576 5.0576 5.0576 60.00 60.00 60.00
Closest atoms and distances in Å follow each position.
Atoms (fractional coordinates):
Sm: 0.0000 0.0000 0.0000  4 Pd 3.10, 4 Zn 3.10
Dy: 0.5000 0.5000 0.5000  4 Pd 3.10, 4 Zn 3.10
Zn: 0.2500 0.2500 0.2500  4 Dy 3.10, 4 Sm 3.10
Pd: 0.7500 0.7500 0.7500  4 Dy 3.10, 4 Sm 3.10

Record 5
First-principles (PBE) data for an optimized crystal structure of SmDyZnPd, as listed in the Alexandria database.

Summary:
As for the crystal system: tetragonal. For the energy relative to the lowest polymorph listed for this composition, the calculation gives 0 meV per atom.

Lattice parameters (Å, degrees): 3.5947 3.5947 7.0648 90.00 90.00 90.00
Closest atoms and distances in Å follow each position.
Atoms (fractional coordinates):
Sm: 0.0000 0.0000 0.0000  4 Pd 3.14, 4 Zn 3.15, 1 Dy 3.46
Dy: 0.0000 0.0000 0.4899  4 Pd 3.02, 4 Zn 3.08
Zn: 0.5000 0.5000 0.7355  4 Dy 3.08, 4 Sm 3.15, 1 Pd 3.36
Pd: 0.5000 0.5000 0.2602  4 Dy 3.02, 4 Sm 3.14, 1 Zn 3.36

Record 6
First-principles (PBE) data for an optimized crystal structure of DySnPd4, as listed in the Alexandria database.

Summary:
As for the crystal system: cubic. For the energy relative to the lowest polymorph listed for this composition, the calculation gives 72 meV per atom.

Lattice parameters (Å, degrees): 5.3890 5.3890 5.3890 60.00 60.00 60.00
Closest atoms and distances in Å follow each position.
Atoms (fractional coordinates):
Dy: 0.0000 0.0000 0.0000  12 Pd 3.16, 4 Sn 3.30
Sn: 0.7500 0.7500 0.7500  12 Pd 3.16, 4 Dy 3.30
Pd: 0.3751 0.3751 0.3751  6 Pd 2.69-2.70
Pd: 0.3751 0.3751 0.8746  6 Pd 2.69-2.70
Pd: 0.3751 0.8746 0.3751  6 Pd 2.69-2.70
Pd: 0.8746 0.3751 0.3751  6 Pd 2.69-2.70

Record 7
First-principles (PBE) data for an optimized crystal structure of DySn2Pd7, as listed in the Alexandria database.

Summary:
As for the crystal system: tetragonal. For the energy relative to the lowest polymorph listed for this composition, the calculation gives 0 meV per atom.

Lattice parameters (Å, degrees): 11.5377 11.5377 11.5377 159.47 159.47 29.19
Closest atoms and distances in Å follow each position.
Atoms (fractional coordinates):
Dy: 0.0000 0.0000 0.0000  12 Pd 2.91-2.92
Sn: 0.3291 0.3291 0.0000  8 Pd 2.69-2.71
Sn: 0.6709 0.6709 0.0000  8 Pd 2.69-2.71
Pd: 0.0931 0.5931 0.5000  2 Sn 2.69, 6 Pd 2.91-2.92, 2 Dy 2.92
Pd: 0.2500 0.7500 0.5000  4 Sn 2.71, 4 Pd 2.91
Pd: 0.4069 0.9069 0.5000  2 Sn 2.69, 6 Pd 2.91-2.92, 2 Dy 2.92
Pd: 0.5000 0.5000 0.0000  4 Dy 2.91, 8 Pd 2.92
Pd: 0.5931 0.0931 0.5000  2 Sn 2.69, 6 Pd 2.91-2.92, 2 Dy 2.92
Pd: 0.7500 0.2500 0.5000  4 Sn 2.71, 4 Pd 2.91
Pd: 0.9069 0.4069 0.5000  2 Sn 2.69, 6 Pd 2.91-2.92, 2 Dy 2.92

Record 8
First-principles (PBE) data for an optimized crystal structure of DySnPd5, as listed in the Alexandria database.

Summary:
As for the crystal system: orthorhombic. For the energy relative to the lowest polymorph listed for this composition, the calculation gives 82 meV per atom.

Lattice parameters (Å, degrees): 4.8504 4.8504 11.5680 90.00 90.00 74.26
Closest atoms and distances in Å follow each position.
Atoms (fractional coordinates):
Dy: 0.0008 0.9992 0.7500  10 Pd 2.85-2.93
Dy: 0.9992 0.0008 0.2500  10 Pd 2.85-2.93
Sn: 0.5000 0.5000 0.0000  10 Pd 2.79-2.89
Sn: 0.5000 0.5000 0.5000  10 Pd 2.79-2.89
Pd: 0.0004 0.4991 0.6199  6 Pd 2.77-3.01, 2 Sn 2.79, 2 Dy 2.85-2.86
Pd: 0.0004 0.4991 0.8801  6 Pd 2.77-3.01, 2 Sn 2.79, 2 Dy 2.85-2.86
Pd: 0.9996 0.5009 0.1199  6 Pd 2.77-3.01, 2 Sn 2.79, 2 Dy 2.85-2.86
Pd: 0.9996 0.5009 0.3801  6 Pd 2.77-3.01, 2 Sn 2.79, 2 Dy 2.85-2.86
Pd: 0.4991 0.0004 0.1199  6 Pd 2.77-3.01, 2 Sn 2.79, 2 Dy 2.85-2.86
Pd: 0.4991 0.0004 0.3801  6 Pd 2.77-3.01, 2 Sn 2.79, 2 Dy 2.85-2.86
Pd: 0.4996 0.5004 0.2500  8 Pd 2.85, 2 Sn 2.89, 2 Dy 2.93
Pd: 0.5004 0.4996 0.7500  8 Pd 2.85, 2 Sn 2.89, 2 Dy 2.93
Pd: 0.5009 0.9996 0.6199  6 Pd 2.77-3.01, 2 Sn 2.79, 2 Dy 2.85-2.86
Pd: 0.5009 0.9996 0.8801  6 Pd 2.77-3.01, 2 Sn 2.79, 2 Dy 2.85-2.86

Record 9
First-principles (PBE) data for an optimized crystal structure of Dy2SnPd9, as listed in the Alexandria database.

Summary:
Its total energy is -69.0 eV per cell. As for the crystal system: tetragonal.

Lattice parameters (Å, degrees): 4.1082 4.1082 12.2126 90.00 90.00 90.00
Closest atoms and distances in Å follow each position.
Atoms (fractional coordinates):
Dy: 0.0000 0.0000 0.1683  12 Pd 2.91-2.93
Dy: 0.0000 0.0000 0.8317  12 Pd 2.91-2.93
Sn: 0.0000 0.0000 0.5000  12 Pd 2.84-2.90
Pd: 0.0000 0.5000 0.0000  8 Pd 2.90-2.93, 4 Dy 2.91
Pd: 0.0000 0.5000 0.3399  2 Sn 2.84, 8 Pd 2.84-2.92, 2 Dy 2.93
Pd: 0.0000 0.5000 0.6601  2 Sn 2.84, 8 Pd 2.84-2.92, 2 Dy 2.93
Pd: 0.5000 0.0000 0.0000  8 Pd 2.90-2.93, 4 Dy 2.91
Pd: 0.5000 0.0000 0.3399  2 Sn 2.84, 8 Pd 2.84-2.92, 2 Dy 2.93
Pd: 0.5000 0.0000 0.6601  2 Sn 2.84, 8 Pd 2.84-2.92, 2 Dy 2.93
Pd: 0.5000 0.5000 0.1705  4 Dy 2.91, 8 Pd 2.92-2.93
Pd: 0.5000 0.5000 0.5000  8 Pd 2.84, 4 Sn 2.90
Pd: 0.5000 0.5000 0.8295  4 Dy 2.91, 8 Pd 2.92-2.93

Record 10
First-principles (PBE) data for an optimized crystal structure of Dy4SnPd, as listed in the Alexandria database.

Summary:
Its total energy is -60.3 eV per cell. As for the crystal system: orthorhombic.

Lattice parameters (Å, degrees): 10.5097 10.5097 6.4184 90.00 90.00 150.37
Closest atoms and distances in Å follow each position.
Atoms (fractional coordinates):
Dy: 0.0524 0.9476 0.7500  1 Pd 2.73
Dy: 0.2003 0.7997 0.5038  1 Pd 2.90, 1 Dy 3.16
Dy: 0.2003 0.7997 0.9962  1 Pd 2.90, 1 Dy 3.16
Dy: 0.3899 0.6101 0.7500  2 Pd 2.75
Dy: 0.6101 0.3899 0.2500  2 Pd 2.75
Dy: 0.7997 0.2003 0.0038  1 Pd 2.90, 1 Dy 3.16
Dy: 0.7997 0.2003 0.4962  1 Pd 2.90, 1 Dy 3.16
Dy: 0.9476 0.0524 0.2500  1 Pd 2.73
Sn: 0.3466 0.6534 0.2500  10 Dy 3.26-3.39
Sn: 0.6534 0.3466 0.7500  10 Dy 3.26-3.39
Pd: 0.0820 0.9180 0.2500  5 Dy 2.73-2.90
Pd: 0.9180 0.0820 0.7500  5 Dy 2.73-2.90

Record 11
First-principles (PBE) data for an optimized crystal structure of DySnPd4, as listed in the Alexandria database.

Summary:
As for the crystal system: monoclinic. For the energy relative to the lowest polymorph listed for this composition, the calculation gives 0 meV per atom.

Lattice parameters (Å, degrees): 4.9263 8.9944 4.9049 90.00 95.86 90.00
Closest atoms and distances in Å follow each position.
Atoms (fractional coordinates):
Dy: 0.0000 0.0000 0.0000  10 Pd 2.86-3.03
Dy: 0.0000 0.5000 0.5000  10 Pd 2.86-3.03
Sn: 0.5000 0.0000 0.5000  10 Pd 2.87-2.99
Sn: 0.5000 0.5000 0.0000  10 Pd 2.87-2.99
Pd: 0.0000 0.1629 0.4998  3 Dy 2.86-3.03, 2 Sn 2.87, 5 Pd 2.90-2.93
Pd: 0.0000 0.3371 0.9998  3 Dy 2.86-3.03, 2 Sn 2.87, 5 Pd 2.90-2.93
Pd: 0.0000 0.6629 0.0002  3 Dy 2.86-3.03, 2 Sn 2.87, 5 Pd 2.90-2.93
Pd: 0.0000 0.8371 0.5002  3 Dy 2.86-3.03, 2 Sn 2.87, 5 Pd 2.90-2.93
Pd: 0.5003 0.1674 0.0023  5 Pd 2.87-3.01, 3 Sn 2.87-2.99, 2 Dy 2.89
Pd: 0.5003 0.3326 0.5023  5 Pd 2.87-3.01, 3 Sn 2.87-2.99, 2 Dy 2.89
Pd: 0.4997 0.6674 0.4977  5 Pd 2.87-3.01, 3 Sn 2.87-2.99, 2 Dy 2.89
Pd: 0.4997 0.8326 0.9977  5 Pd 2.87-3.01, 3 Sn 2.87-2.99, 2 Dy 2.89